[1]
DFT (meta-GGA SCAN) results for a crystal of CdTe2AsN relaxed with PBEsol.

abc: 3.595 5.631 5.631
angles: 90.00 90.00 90.00
Element x y z (fractional)
Te  0.000  0.500  0.000
Te  0.000  0.000  0.500
Cd  0.500  0.500  0.500
N  0.500  0.000  0.000
As  0.000  0.000  0.000

Values from the calculation:
**E_form (uncorrected)**: 0.662 eV/atom


[2]
DFT (meta-GGA SCAN) results for a crystal of EuIn3 relaxed with PBEsol.

abc: 5.201 6.659 6.659
angles: 120.00 90.00 90.00
Each line ends with the local moment (μB).
Element x y z (fractional)
In  0.750  0.840  0.681  -0.01
In  0.250  0.160  0.840  -0.01
In  0.250  0.160  0.319  -0.01
In  0.250  0.681  0.840  -0.01
In  0.750  0.840  0.160  -0.01
In  0.750  0.319  0.160  -0.01
Eu  0.250  0.667  0.333  6.84
Eu  0.750  0.333  0.667  6.84

Values from the calculation:
**Total DFT energy (no corrections)**: -38.94 eV/atom


no.,DOS at the Fermi energy (states/eV/cell),ρ (g cm⁻³)
1,2.72,6.7
2,9.33,8.3